VASP calculation (GGA-PBE) on a geometry-optimized KAg structure.

Computed properties:
DOS at the Fermi energy	0.00	states/eV per atom
total energy	-1.709	eV/atom

Cell lengths 9.549, 9.549, 9.549 Å; angles 90.00, 90.00, 90.00 degrees
Fractional coordinates of all 12 atoms:
Ag  0.000  0.750  0.500
K  0.000  0.500  0.750
Ag  0.500  0.000  0.750
K  0.750  0.000  0.500
K  0.500  0.250  0.000
K  0.500  0.750  0.000
K  0.250  0.000  0.500
K  0.000  0.500  0.250
Ag  0.750  0.500  0.000
Ag  0.500  0.000  0.250
Ag  0.250  0.500  0.000
Ag  0.000  0.250  0.500

VASP calculation (GGA-PBE) on a geometry-optimized KAg12 structure.

Computed properties:
DOS at the Fermi energy	0.31	states/eV per atom
total energy	-2.668	eV/atom

Cell lengths 5.520, 7.430, 7.430 Å; angles 82.07, 68.19, 68.19 degrees
Fractional coordinates of all 13 atoms:
Ag  0.355  0.645  0.645
Ag  0.645  0.355  0.355
Ag  0.500  0.226  0.774
Ag  0.000  0.355  0.645
Ag  0.000  0.500  0.000
Ag  0.274  0.226  0.226
Ag  0.500  0.500  0.000
Ag  0.000  0.645  0.355
K  0.000  0.000  0.000
Ag  0.500  0.000  0.500
Ag  0.500  0.774  0.226
Ag  0.000  0.000  0.500
Ag  0.726  0.774  0.774

VASP calculation (GGA-PBE) on a geometry-optimized KAg2 structure.

Computed properties:
DOS at the Fermi energy	0.32	states/eV per atom
total energy	-2.165	eV/atom

Cell lengths 6.455, 6.455, 6.455 Å; angles 145.61, 145.61, 49.42 degrees
Fractional coordinates of all 3 atoms:
K  0.000  0.000  0.000
Ag  0.720  0.720  0.000
Ag  0.280  0.280  0.000

VASP calculation (GGA-PBE) on a geometry-optimized KAg2 structure.

Computed properties:
DOS at the Fermi energy	0.30	states/eV per atom
total energy	-2.234	eV/atom

Cell lengths 6.906, 6.906, 6.906 Å; angles 133.19, 133.19, 68.35 degrees
Fractional coordinates of all 6 atoms:
K  0.250  0.250  0.000
K  0.750  0.750  0.000
Ag  0.319  0.181  0.500
Ag  0.819  0.319  0.139
Ag  0.181  0.681  0.861
Ag  0.681  0.819  0.500

VASP calculation (GGA-PBE) on a geometry-optimized KAg2 structure.

Computed properties:
DOS at the Fermi energy	0.16	states/eV per atom
total energy	-2.275	eV/atom

Cell lengths 5.901, 5.901, 9.952 Å; angles 90.00, 90.00, 120.00 degrees
Fractional coordinates of all 12 atoms:
Ag  0.834  0.166  0.250
Ag  0.000  0.000  0.500
Ag  0.166  0.331  0.750
Ag  0.331  0.166  0.250
K  0.333  0.667  0.062
K  0.667  0.333  0.562
Ag  0.166  0.834  0.750
Ag  0.000  0.000  0.000
Ag  0.834  0.669  0.250
K  0.333  0.667  0.438
Ag  0.669  0.834  0.750
K  0.667  0.333  0.938

VASP calculation (GGA-PBE) on a geometry-optimized KAg structure.

Computed properties:
DOS at the Fermi energy	0.27	states/eV per atom
total energy	-1.908	eV/atom

Cell lengths 6.457, 6.457, 6.457 Å; angles 139.37, 129.42, 66.80 degrees
Fractional coordinates of all 4 atoms:
Ag  0.421  0.671  0.250
K  0.146  0.896  0.750
K  0.854  0.104  0.250
Ag  0.579  0.329  0.750

VASP calculation (GGA-PBE) on a geometry-optimized K5Ag2 structure.

Computed properties:
DOS at the Fermi energy	0.55	states/eV per atom
total energy	-1.565	eV/atom

Cell lengths 7.629, 9.306, 10.277 Å; angles 97.25, 111.79, 90.00 degrees
Fractional coordinates of all 14 atoms:
K  0.781  0.075  0.823
K  0.406  0.250  0.000
K  0.200  0.177  0.558
K  0.219  0.925  0.177
Ag  0.806  0.077  0.208
K  0.958  0.425  0.177
Ag  0.194  0.923  0.792
Ag  0.402  0.577  0.208
K  0.358  0.677  0.558
K  0.642  0.323  0.442
K  0.042  0.575  0.823
K  0.800  0.823  0.442
Ag  0.598  0.423  0.792
K  0.594  0.750  0.000

VASP calculation (GGA-PBE) on a geometry-optimized KAg2 structure.

Computed properties:
DOS at the Fermi energy	0.50	states/eV per atom
total energy	-2.253	eV/atom

Cell lengths 6.585, 6.585, 4.970 Å; angles 90.00, 90.00, 129.27 degrees
Fractional coordinates of all 6 atoms:
K  0.761  0.761  0.750
K  0.239  0.239  0.250
Ag  0.857  0.399  0.250
Ag  0.399  0.857  0.250
Ag  0.601  0.143  0.750
Ag  0.143  0.601  0.750

VASP calculation (GGA-PBE) on a geometry-optimized K4Ag5 structure.

Computed properties:
DOS at the Fermi energy	0.50	states/eV per atom
total energy	-1.907	eV/atom

Cell lengths 8.678, 8.678, 8.678 Å; angles 94.32, 94.32, 148.15 degrees
Fractional coordinates of all 9 atoms:
Ag  0.617  0.383  0.000
K  0.000  0.707  0.707
Ag  0.000  0.000  0.000
K  0.293  0.000  0.293
K  0.707  0.000  0.707
Ag  0.383  0.617  0.000
Ag  0.617  0.617  0.235
Ag  0.383  0.383  0.765
K  0.000  0.293  0.293

VASP calculation (GGA-PBE) on a geometry-optimized KAg structure.

Computed properties:
DOS at the Fermi energy	0.33	states/eV per atom
total energy	-1.796	eV/atom

Cell lengths 4.541, 4.541, 9.625 Å; angles 90.00, 90.00, 120.00 degrees
Fractional coordinates of all 4 atoms:
K  0.667  0.333  0.829
Ag  0.667  0.333  0.172
K  0.000  0.000  0.421
Ag  0.000  0.000  0.078

VASP calculation (GGA-PBE) on a geometry-optimized K2Ag structure.

Computed properties:
DOS at the Fermi energy	0.49	states/eV per atom
total energy	-1.557	eV/atom

Cell lengths 5.820, 5.820, 4.370 Å; angles 90.00, 90.00, 120.00 degrees
Fractional coordinates of all 3 atoms:
Ag  0.000  0.000  0.000
K  0.333  0.667  0.291
K  0.667  0.333  0.709

VASP calculation (GGA-PBE) on a geometry-optimized KAg3 structure.

Computed properties:
DOS at the Fermi energy	0.28	states/eV per atom
total energy	-2.134	eV/atom

Cell lengths 4.515, 4.515, 4.515 Å; angles 90.00, 90.00, 90.00 degrees
Fractional coordinates of all 4 atoms:
Ag  0.000  0.500  0.500
Ag  0.500  0.000  0.500
Ag  0.500  0.500  0.000
K  0.000  0.000  0.000

| no. | total magnetic moment (Bohr magnetons per cell) | DFT formation energy (eV/atom) |
| --- | --- | --- |
| 1 | 0.00 | 0.265 |
| 2 | 0.00 | 0.048 |
| 3 | 0.00 | 0.101 |
| 4 | 0.00 | 0.033 |
| 5 | 0.00 | -0.008 |
| 6 | 0.00 | 0.066 |
| 7 | 0.00 | 0.034 |
| 8 | 0.00 | 0.014 |
| 9 | 0.00 | 0.165 |
| 10 | 0.00 | 0.179 |
| 11 | 0.00 | 0.125 |
| 12 | 0.00 | 0.279 |